Entry 1:
PuMnZnRu | Alexandria | GGA-PBE | optimized geometry; N(E_F) = 1.10 states/eV/atom; final energy = -34.4 eV/f.u.; DFT formation energy = -0.4 eV/f.u.; symmetry = F-43m, No. 216
1.0
-4.4950 0.0174 0.1515
-2.1319 -1.4735 3.6759
-2.1487 2.9106 2.6720
Mn Ru Pu Zn
1 1 1 1
direct
0.7500 0.7500 0.7500 Mn
0.2500 0.2500 0.2500 Ru
0.0000 0.0000 0.0000 Pu
0.5000 0.5000 0.5000 Zn

Entry 2:
PuZrMnRu | Alexandria | GGA-PBE | optimized geometry; N(E_F) = 1.24 states/eV/atom; final energy = -41.9 eV/f.u.; DFT formation energy = -0.6 eV/f.u.; symmetry = F-43m, No. 216
1.0
4.6884 0.0000 0.0000
2.3442 4.0603 0.0000
2.3442 1.3534 3.8281
Mn Pu Zr Ru
1 1 1 1
direct
0.7500 0.7500 0.7500 Mn
0.0000 0.0000 0.0000 Pu
0.5000 0.5000 0.5000 Zr
0.2500 0.2500 0.2500 Ru

Entry 3:
PuMnS2 | Alexandria | GGA-PBE | optimized geometry; distance to the lowest polymorph of the same formula = 11 meV per atom; ΔE_f (raw) = -0.846 eV/atom; N(E_F) = 2.64 states/eV/atom; final energy = -35.1 eV/f.u.; symmetry = R3m, No. 160
1.0
4.0774 -0.0004 -0.0010
2.0385 3.5309 0.0007
2.0375 1.1763 7.1125
S Mn Pu
2 1 1
direct
0.1281 0.5727 0.5146 S
0.6035 0.0490 0.0865 S
0.2401 0.6856 0.1767 Mn
0.7328 0.1773 0.7007 Pu

Entry 4:
PuMnS4 | Alexandria | GGA-PBE | optimized geometry; ΔE_f (raw) = -0.806 eV/atom; N(E_F) = 0.67 states/eV/atom; final energy = -44.8 eV/f.u.; symmetry = P2_1/c, No. 14
1.0
-1.6519 3.0617 -6.1825
-5.6874 -0.4946 1.2747
0.9512 4.1331 5.8478
S Mn Pu
8 2 2
direct
0.3554 0.7693 0.2041 S
0.6446 0.2307 0.7959 S
0.8050 0.7591 0.6579 S
0.6950 0.2591 0.3421 S
0.1446 0.2693 0.7959 S
0.8554 0.7307 0.2041 S
0.3050 0.7409 0.6579 S
0.1950 0.2409 0.3421 S
0.5000 0.0000 0.5000 Mn
0.0000 0.5000 0.5000 Mn
0.0000 0.0000 0.0000 Pu
0.5000 0.5000 0.0000 Pu

Entry 5:
PuMnS | Alexandria | GGA-PBE | optimized geometry; ΔE_f (raw) = -0.689 eV/atom; N(E_F) = 3.22 states/eV/atom; final energy = -29.7 eV/f.u.; symmetry = Cmcm, No. 63
1.0
4.0277 0.0000 0.0000
0.0000 3.7749 0.0000
0.0000 1.8874 7.4731
Pu S Mn
2 2 2
direct
0.7500 0.1368 0.7264 Pu
0.2500 0.8632 0.2736 Pu
0.2500 0.6764 0.6473 S
0.7500 0.3236 0.3527 S
0.2500 0.5270 0.9460 Mn
0.7500 0.4730 0.0540 Mn

Entry 6:
PuMn3S6 | Alexandria | GGA-PBE | optimized geometry; ΔE_f (raw) = -0.761 eV/atom; N(E_F) = 1.21 states/eV/atom; final energy = -74.2 eV/f.u.; symmetry = P2_1/m, No. 11
1.0
3.5917 0.0000 0.0000
0.0000 10.1665 -3.4761
0.0000 -0.0767 10.2186
S Pu Mn
12 2 6
direct
0.7500 0.3754 0.8976 S
0.7500 0.9449 0.2433 S
0.7500 0.1890 0.5765 S
0.7500 0.1380 0.0572 S
0.2500 0.0551 0.7567 S
0.2500 0.4837 0.6523 S
0.2500 0.8620 0.9428 S
0.2500 0.6246 0.1024 S
0.2500 0.8110 0.4235 S
0.7500 0.7460 0.6686 S
0.7500 0.5163 0.3477 S
0.2500 0.2540 0.3314 S
0.2500 0.3556 0.1080 Pu
0.7500 0.6444 0.8920 Pu
0.2500 0.0399 0.1625 Mn
0.2500 0.6424 0.5191 Mn
0.2500 0.2673 0.7310 Mn
0.7500 0.7327 0.2690 Mn
0.7500 0.3576 0.4809 Mn
0.7500 0.9601 0.8375 Mn

Entry 7:
PuMnS2 | Alexandria | GGA-PBE | optimized geometry; distance to the lowest polymorph of the same formula = 0 meV per atom; ΔE_f (raw) = -0.857 eV/atom; N(E_F) = 1.61 states/eV/atom; final energy = -35.2 eV/f.u.; symmetry = R-3m, No. 166
1.0
4.9390 0.0000 0.0000
2.4695 4.2773 0.0000
2.4695 1.4258 3.4150
S Pu Mn
2 1 1
direct
0.2671 0.2671 0.1988 S
0.7329 0.7329 0.8012 S
0.0000 0.0000 0.0000 Pu
0.5000 0.5000 0.5000 Mn

Entry 8:
Pu3Mn5S12 | Alexandria | GGA-PBE | optimized geometry; ΔE_f (raw) = -0.960 eV/atom; N(E_F) = 1.26 states/eV/atom; final energy = -157.6 eV/f.u.; symmetry = Ia-3d, No. 230
1.0
12.9299 0.0000 0.0000
-4.3100 12.1904 0.0000
-4.3100 -6.0952 10.5572
S Mn Pu
48 20 12
direct
0.0887 0.1759 0.4664 S
0.9113 0.0872 0.8777 S
0.4113 0.3777 0.5872 S
0.8777 0.5872 0.9113 S
0.0887 0.9128 0.1223 S
0.3777 0.4113 0.0872 S
0.3241 0.7905 0.4128 S
0.4128 0.1223 0.5887 S
0.8777 0.2905 0.4664 S
0.5887 0.6223 0.4128 S
0.9113 0.8241 0.5336 S
0.9664 0.3777 0.2905 S
0.2905 0.8777 0.9664 S
0.9128 0.0887 0.6223 S
0.7095 0.1223 0.0336 S
0.6223 0.0336 0.2095 S
0.1223 0.4128 0.0887 S
0.3777 0.9664 0.7905 S
0.9664 0.5887 0.1759 S
0.4113 0.0336 0.3241 S
0.5872 0.8777 0.4113 S
0.2905 0.4128 0.8241 S
0.0872 0.9113 0.3777 S
0.9128 0.8241 0.7905 S
0.1759 0.0887 0.9664 S
0.5336 0.2095 0.1223 S
0.7095 0.5872 0.1759 S
0.4664 0.6759 0.0887 S
0.0336 0.6223 0.7095 S
0.2095 0.5336 0.6223 S
0.5336 0.3241 0.9113 S
0.8241 0.9113 0.0336 S
0.5872 0.7095 0.6759 S
0.2095 0.6759 0.0872 S
0.4664 0.7905 0.8777 S
0.7905 0.3241 0.9128 S
0.0336 0.4113 0.8241 S
0.6759 0.2095 0.5872 S
0.5887 0.9664 0.6759 S
0.3241 0.5336 0.4113 S
0.1223 0.7095 0.5336 S
0.8241 0.9128 0.2905 S
0.1759 0.0872 0.7095 S
0.7905 0.4664 0.3777 S
0.0872 0.1759 0.2095 S
0.4128 0.2905 0.3241 S
0.6223 0.5887 0.9128 S
0.6759 0.4664 0.5887 S
0.3750 0.2500 0.1250 Mn
0.2500 0.3750 0.6250 Mn
0.1250 0.7500 0.3750 Mn
0.1250 0.3750 0.2500 Mn
0.0000 0.0000 0.0000 Mn
0.2500 0.8750 0.1250 Mn
0.6250 0.8750 0.2500 Mn
0.6250 0.7500 0.8750 Mn
0.7500 0.6250 0.3750 Mn
0.8750 0.6250 0.7500 Mn
0.0000 0.0000 0.5000 Mn
0.0000 0.5000 0.5000 Mn
0.8750 0.2500 0.6250 Mn
0.7500 0.1250 0.8750 Mn
0.5000 0.0000 0.5000 Mn
0.5000 0.5000 0.0000 Mn
0.5000 0.5000 0.5000 Mn
0.3750 0.1250 0.7500 Mn
0.5000 0.0000 0.0000 Mn
0.0000 0.5000 0.0000 Mn
0.7500 0.8750 0.6250 Pu
0.6250 0.2500 0.3750 Pu
0.3750 0.6250 0.2500 Pu
0.8750 0.1250 0.2500 Pu
0.2500 0.6250 0.8750 Pu
0.2500 0.1250 0.3750 Pu
0.1250 0.8750 0.7500 Pu
0.7500 0.3750 0.1250 Pu
0.8750 0.7500 0.1250 Pu
0.6250 0.3750 0.7500 Pu
0.3750 0.7500 0.6250 Pu
0.1250 0.2500 0.8750 Pu

Entry 9:
PuMn2S4 | Alexandria | GGA-PBE | optimized geometry; distance to the lowest polymorph of the same formula = 0 meV per atom; ΔE_f (raw) = -0.941 eV/atom; N(E_F) = 1.44 states/eV/atom; final energy = -55.8 eV/f.u.; symmetry = Pbcm, No. 57
1.0
-3.5085 -0.9293 -0.6523
-0.1187 -6.6792 10.1549
-3.6360 9.4120 6.1481
Pu S Mn
4 16 8
direct
0.2503 0.2500 0.3682 Pu
0.7497 0.2500 0.8682 Pu
0.7497 0.7500 0.6318 Pu
0.2503 0.7500 0.1318 Pu
0.2498 0.8878 0.5230 S
0.7489 0.5000 0.7500 S
0.2498 0.1122 0.9770 S
0.2495 0.7500 0.8033 S
0.7502 0.8878 0.0230 S
0.7489 0.0000 0.7500 S
0.2498 0.6122 0.5230 S
0.7502 0.6122 0.0230 S
0.2511 0.5000 0.2500 S
0.2498 0.3878 0.9770 S
0.2511 0.0000 0.2500 S
0.2495 0.2500 0.6967 S
0.7502 0.3878 0.4770 S
0.7502 0.1122 0.4770 S
0.7505 0.2500 0.1967 S
0.7505 0.7500 0.3033 S
0.7507 0.4336 0.1183 Mn
0.7507 0.0664 0.1183 Mn
0.7507 0.5664 0.3817 Mn
0.2493 0.0664 0.6183 Mn
0.2493 0.9336 0.8817 Mn
0.2493 0.4336 0.6183 Mn
0.7507 0.9336 0.3817 Mn
0.2493 0.5664 0.8817 Mn

Entry 10:
PuMn2S4 | Alexandria | GGA-PBE | optimized geometry; distance to the lowest polymorph of the same formula = 50 meV per atom; ΔE_f (raw) = -0.891 eV/atom; N(E_F) = 1.23 states/eV/atom; final energy = -55.4 eV/f.u.; symmetry = I4_1/amd, No. 141
1.0
7.0448 -1.0879 -0.1310
-1.6771 6.9283 0.1282
-2.5872 -3.0065 5.9311
S Mn Pu
8 4 2
direct
0.9246 0.2392 0.3151 S
0.4892 0.6746 0.8151 S
0.7608 0.0757 0.6852 S
0.3256 0.5108 0.1851 S
0.9241 0.6095 0.6849 S
0.3905 0.0756 0.3148 S
0.8595 0.6741 0.1849 S
0.3256 0.1405 0.8149 S
0.6250 0.3746 0.2497 Mn
0.6248 0.3750 0.7497 Mn
0.6253 0.8750 0.2502 Mn
0.1249 0.3753 0.7503 Mn
0.2500 0.7500 0.5000 Pu
0.0000 0.0000 0.0000 Pu

Entry 11:
TbPu2MnS5 | Alexandria | GGA-PBE | optimized geometry; ΔE_f (raw) = -1.538 eV/atom; N(E_F) = 2.23 states/eV/atom; final energy = -76.9 eV/f.u.; symmetry = Cmc2_1, No. 36
1.0
3.8854 0.0000 0.0000
-1.9427 8.2098 0.0000
0.0000 0.0000 11.8765
Pu S Mn Tb
4 10 2 2
direct
0.8737 0.7473 0.8022 Pu
0.8887 0.7774 0.1860 Pu
0.1113 0.2226 0.6860 Pu
0.1263 0.2527 0.3022 Pu
0.9565 0.9129 0.5730 S
0.0435 0.0871 0.0730 S
0.5013 0.0027 0.2795 S
0.6898 0.3795 0.8422 S
0.4987 0.9973 0.7795 S
0.7099 0.4198 0.1646 S
0.2901 0.5802 0.6646 S
0.6371 0.2741 0.4997 S
0.3629 0.7259 0.9997 S
0.3102 0.6205 0.3422 S
0.4929 0.9857 0.4743 Mn
0.5071 0.0143 0.9743 Mn
0.8015 0.6031 0.5025 Tb
0.1985 0.3969 0.0025 Tb

Entry 12:
PuMnTlS3 | Alexandria | GGA-PBE | optimized geometry; ΔE_f (raw) = -0.970 eV/atom; N(E_F) = 1.57 states/eV/atom; final energy = -44.1 eV/f.u.; symmetry = P2_1/m, No. 11
1.0
-2.6504 -2.1478 -2.1996
3.5284 -7.4184 2.9923
-6.8093 2.1960 6.0606
Mn S Pu Tl
2 6 2 2
direct
0.7500 0.9190 0.3883 Mn
0.2500 0.0810 0.6117 Mn
0.2500 0.1229 0.8701 S
0.7500 0.8771 0.1299 S
0.2500 0.8052 0.4579 S
0.7500 0.1948 0.5421 S
0.7500 0.4610 0.1486 S
0.2500 0.5390 0.8514 S
0.2500 0.6714 0.1505 Pu
0.7500 0.3286 0.8495 Pu
0.7500 0.7986 0.7798 Tl
0.2500 0.2014 0.2202 Tl

Number 1: magnetization 1.8 μB per formula unit. Number 2: magnetization 2.6 μB per formula unit. Number 3: magnetization 10.6 μB per formula unit. Number 4: magnetization 7.0 μB per formula unit. Number 5: magnetization 3.7 μB per formula unit. Number 6: magnetization 16.8 μB per formula unit. Number 7: magnetization 9.2 μB per formula unit. Number 8: magnetization 35.1 μB per formula unit. Number 9: magnetization 13.7 μB per formula unit. Number 10: magnetization 14.0 μB per formula unit. Number 11: magnetization 6.0 μB per formula unit. Number 12: magnetization 0.1 μB per formula unit.